1.
# Sr5CdAg4, optimized geometry, DFT PBE
data_Sr5CdAg4
_cell_length_a 3.968
_cell_length_b 3.968
_cell_length_c 19.665
_cell_angle_alpha 90.00
_cell_angle_beta 90.00
_cell_angle_gamma 90.00
_space_group_name_H-M_alt 'P 4/m m m'
_space_group_IT_number 123
_space_group_name_Hall '-P 4 2'
loop_
_atom_site_label
_atom_site_type_symbol
_atom_site_fract_x
_atom_site_fract_y
_atom_site_fract_z
Sr1 Sr 0.000 0.000 0.000
Sr2 Sr 0.000 0.000 0.196
Sr3 Sr 0.000 0.000 0.394
Cd1 Cd 0.500 0.500 0.500
Ag1 Ag 0.500 0.500 0.098
Ag2 Ag 0.500 0.500 0.295
# * calculated density: 5.3 g cm⁻³
# * total energy: -23.49 eV for the cell shown
# * size of the total moment: 0.00 μB/atom

=====

2.
# SrCd2Ag, optimized geometry, DFT PBE
data_SrCd2Ag
_cell_length_a 4.738
_cell_length_b 4.738
_cell_length_c 21.271
_cell_angle_alpha 90.00
_cell_angle_beta 90.00
_cell_angle_gamma 90.00
_space_group_name_H-M_alt 'I -4 2 d'
_space_group_IT_number 122
_space_group_name_Hall 'I -4 2bw'
loop_
_atom_site_label
_atom_site_type_symbol
_atom_site_fract_x
_atom_site_fract_y
_atom_site_fract_z
Sr1 Sr 0.000 0.000 0.000
Cd1 Cd 0.169 0.250 0.625
Ag1 Ag 0.000 0.000 0.500
# * calculated density: 5.8 g cm⁻³
# * total energy: -26.42 eV for the cell shown
# * size of the total moment: 0.00 μB/atom

=====

3.
# SrCd6Ag4, optimized geometry, DFT PBE
data_SrCd6Ag4
_cell_length_a 8.0938
_cell_length_b 8.0938
_cell_length_c 4.4962
_cell_angle_alpha 90.00
_cell_angle_beta 90.00
_cell_angle_gamma 120.00
_space_group_name_H-M_alt 'P -6 m 2'
_space_group_IT_number 187
_space_group_name_Hall 'P -6 2'
loop_
_atom_site_label
_atom_site_type_symbol
_atom_site_fract_x
_atom_site_fract_y
_atom_site_fract_z
Sr1 Sr 0.0000 0.0000 0.0000
Cd1 Cd 0.2011 0.4022 0.5000
Cd2 Cd 0.5346 0.0692 0.0000
Ag1 Ag 0.3333 0.6667 0.0000
Ag2 Ag 0.4083 0.2042 0.5000
# * energy above the lowest structure with this stoichiometry: 0.000 eV/f.u.
# * calculated density: 7.8 g cm⁻³
# * total energy: -19.96 eV for the cell shown
# * size of the total moment: 0.00 μB/atom

=====

4.
# SrCd3Ag2, optimized geometry, DFT PBE
data_SrCd3Ag2
_cell_length_a 4.8365
_cell_length_b 4.8365
_cell_length_c 14.7522
_cell_angle_alpha 90.00
_cell_angle_beta 90.00
_cell_angle_gamma 120.00
_space_group_name_H-M_alt 'P 63/m m c'
_space_group_IT_number 194
_space_group_name_Hall '-P 6c 2c'
loop_
_atom_site_label
_atom_site_type_symbol
_atom_site_fract_x
_atom_site_fract_y
_atom_site_fract_z
Sr1 Sr 0.0000 0.0000 0.2500
Cd1 Cd 0.0000 0.0000 0.0000
Cd2 Cd 0.3333 0.6667 0.1044
Ag1 Ag 0.3333 0.6667 0.6011
# * calculated density: 7.1 g cm⁻³
# * total energy: -22.54 eV for the cell shown
# * size of the total moment: 0.00 μB/atom

=====

5.
# SrCdAg3, optimized geometry, DFT PBE
data_SrCdAg3
_cell_length_a 5.242
_cell_length_b 5.242
_cell_length_c 5.242
_cell_angle_alpha 90.00
_cell_angle_beta 90.00
_cell_angle_gamma 90.00
_space_group_name_H-M_alt 'P m -3 m'
_space_group_IT_number 221
_space_group_name_Hall '-P 4 2 3'
loop_
_atom_site_label
_atom_site_type_symbol
_atom_site_fract_x
_atom_site_fract_y
_atom_site_fract_z
Sr1 Sr 0.000 0.000 0.000
Cd1 Cd 0.500 0.500 0.500
Ag1 Ag 0.000 0.500 0.500
# * energy above the lowest structure with this stoichiometry: 1.378 eV/f.u.
# * calculated density: 6.0 g cm⁻³
# * total energy: -10.71 eV for the cell shown
# * size of the total moment: 0.00 μB/atom

=====

6.
# Sr4Cd5Ag2, optimized geometry, DFT PBE
data_Sr4Cd5Ag2
_cell_length_a 7.917
_cell_length_b 4.291
_cell_length_c 9.997
_cell_angle_alpha 90.00
_cell_angle_beta 94.96
_cell_angle_gamma 90.00
_space_group_name_H-M_alt 'P 1 2/m 1'
_space_group_IT_number 10
_space_group_name_Hall '-P 2y'
loop_
_atom_site_label
_atom_site_type_symbol
_atom_site_fract_x
_atom_site_fract_y
_atom_site_fract_z
Sr1 Sr 0.184 0.000 0.372
Sr2 Sr 0.252 0.000 0.935
Cd1 Cd 0.184 0.500 0.654
Cd2 Cd 0.444 0.500 0.193
Cd3 Cd 0.500 0.500 0.500
Ag1 Ag 0.066 0.500 0.138
# * calculated density: 5.5 g cm⁻³
# * total energy: -20.09 eV for the cell shown
# * size of the total moment: 0.00 μB/atom

=====

7.
# SrCd2Ag, optimized geometry, DFT PBE
data_SrCd2Ag
_cell_length_a 3.716
_cell_length_b 4.655
_cell_length_c 6.522
_cell_angle_alpha 90.00
_cell_angle_beta 106.24
_cell_angle_gamma 90.00
_space_group_name_H-M_alt 'P 1 m 1'
_space_group_IT_number 6
_space_group_name_Hall 'P -2y'
loop_
_atom_site_label
_atom_site_type_symbol
_atom_site_fract_x
_atom_site_fract_y
_atom_site_fract_z
Sr1 Sr 0.000 0.000 0.000
Cd1 Cd 0.332 0.500 0.663
Cd2 Cd 0.738 0.000 0.476
Ag1 Ag 0.606 0.500 0.219
# * calculated density: 6.4 g cm⁻³
# * total energy: -7.02 eV for the cell shown
# * size of the total moment: 0.00 μB/atom

=====

8.
# SrCd3Ag, optimized geometry, DFT PBE
data_SrCd3Ag
_cell_length_a 6.594
_cell_length_b 12.651
_cell_length_c 6.391
_cell_angle_alpha 90.00
_cell_angle_beta 90.00
_cell_angle_gamma 90.00
_space_group_name_H-M_alt 'C m c m'
_space_group_IT_number 63
_space_group_name_Hall '-C 2c 2'
loop_
_atom_site_label
_atom_site_type_symbol
_atom_site_fract_x
_atom_site_fract_y
_atom_site_fract_z
Sr1 Sr 0.000 0.249 0.250
Cd1 Cd 0.000 0.139 0.750
Cd2 Cd 0.238 0.500 0.000
Ag1 Ag 0.000 0.356 0.750
# * energy above the lowest structure with this stoichiometry: 0.000 eV/f.u.
# * calculated density: 6.6 g cm⁻³
# * total energy: -33.83 eV for the cell shown
# * size of the total moment: 0.00 μB/atom

=====

9.
# Sr2Cd5Ag3, optimized geometry, DFT PBE
data_Sr2Cd5Ag3
_cell_length_a 4.860
_cell_length_b 27.259
_cell_length_c 7.656
_cell_angle_alpha 90.00
_cell_angle_beta 90.00
_cell_angle_gamma 90.00
_space_group_name_H-M_alt 'C m c 21'
_space_group_IT_number 36
_space_group_name_Hall 'C 2c -2'
loop_
_atom_site_label
_atom_site_type_symbol
_atom_site_fract_x
_atom_site_fract_y
_atom_site_fract_z
Sr1 Sr 0.000 0.020 0.000
Sr2 Sr 0.000 0.325 0.046
Cd1 Cd 0.000 0.104 0.341
Cd2 Cd 0.000 0.205 0.866
Cd3 Cd 0.000 0.208 0.254
Cd4 Cd 0.000 0.375 0.508
Cd5 Cd 0.000 0.447 0.185
Ag1 Ag 0.000 0.109 0.727
Ag2 Ag 0.000 0.269 0.563
Ag3 Ag 0.000 0.450 0.792
# * energy above the lowest structure with this stoichiometry: 0.000 eV/f.u.
# * calculated density: 6.9 g cm⁻³
# * total energy: -75.29 eV for the cell shown
# * size of the total moment: 0.00 μB/atom

=====

10.
# Sr6Cd2Ag, optimized geometry, DFT PBE
data_Sr6Cd2Ag
_cell_length_a 5.743
_cell_length_b 14.325
_cell_length_c 17.320
_cell_angle_alpha 90.00
_cell_angle_beta 90.00
_cell_angle_gamma 90.00
_space_group_name_H-M_alt 'F m m m'
_space_group_IT_number 69
_space_group_name_Hall '-F 2 2'
loop_
_atom_site_label
_atom_site_type_symbol
_atom_site_fract_x
_atom_site_fract_y
_atom_site_fract_z
Sr1 Sr 0.000 0.133 0.000
Sr2 Sr 0.000 0.137 0.336
Cd1 Cd 0.000 0.000 0.172
Ag1 Ag 0.000 0.000 0.500
# * calculated density: 4.0 g cm⁻³
# * total energy: -66.83 eV for the cell shown
# * size of the total moment: 0.00 μB/atom

=====

11.
# SrCd2Ag2, optimized geometry, DFT PBE
data_SrCd2Ag2
_cell_length_a 5.064
_cell_length_b 5.064
_cell_length_c 10.259
_cell_angle_alpha 90.00
_cell_angle_beta 90.00
_cell_angle_gamma 90.00
_space_group_name_H-M_alt 'I 4/m m m'
_space_group_IT_number 139
_space_group_name_Hall '-I 4 2'
loop_
_atom_site_label
_atom_site_type_symbol
_atom_site_fract_x
_atom_site_fract_y
_atom_site_fract_z
Sr1 Sr 0.000 0.000 0.000
Cd1 Cd 0.000 0.000 0.364
Ag1 Ag 0.000 0.500 0.250
# * energy above the lowest structure with this stoichiometry: 0.183 eV/f.u.
# * calculated density: 6.7 g cm⁻³
# * total energy: -20.36 eV for the cell shown
# * size of the total moment: 0.00 μB/atom

=====

12.
# SrCd2Ag9, optimized geometry, DFT PBE
data_SrCd2Ag9
_cell_length_a 5.7150
_cell_length_b 5.7150
_cell_length_c 26.9207
_cell_angle_alpha 90.00
_cell_angle_beta 90.00
_cell_angle_gamma 120.00
_space_group_name_H-M_alt 'R -3 m'
_space_group_IT_number 166
_space_group_name_Hall '-R 3 2"'
loop_
_atom_site_label
_atom_site_type_symbol
_atom_site_fract_x
_atom_site_fract_y
_atom_site_fract_z
Sr1 Sr 0.0000 0.0000 0.0000
Cd1 Cd 0.0000 0.0000 0.1456
Ag1 Ag 0.0000 0.0000 0.3340
Ag2 Ag 0.0000 0.0000 0.5000
Ag3 Ag 0.0058 0.5029 0.9136
# * calculated density: 8.4 g cm⁻³
# * total energy: -90.14 eV for the cell shown
# * size of the total moment: 0.00 μB/atom

=====

Number 1 is which compound? Sr5CdAg4